The following is a PBE+U calculation of Rb2CrPdO4 after structural relaxation, from Alexandria via LeMat-Bulk.

a = 5.0827 Å, b = 6.6370 Å, c = 10.7558 Å
α = 84.81°, β = 76.33°, γ = 67.49°
Last column: magnetic moment on the atom in μB.
Positions (direct):
Rb: 0.5757 0.5000 0.8486  0.00
Rb: 0.1743 0.0000 0.6514  0.00
Rb: 0.8257 0.0000 0.3486  0.00
Rb: 0.9243 0.5000 0.1514  0.00
Cr: 0.7500 0.5000 0.5000  -0.03
Cr: 0.0000 0.0000 0.0000  -0.03
O: 0.1293 0.1751 0.8988  0.01
O: 0.2032 0.8249 0.1012  0.01
O: 0.5468 0.6751 0.3988  0.01
O: 0.6207 0.3249 0.6012  0.01
O: 0.9719 0.8249 0.8988  0.01
O: 0.6956 0.1751 0.1012  0.01
O: 0.7781 0.6751 0.6012  0.01
O: 0.0544 0.3249 0.3988  0.01
Pd: 0.5000 0.0000 0.0000  0.09
Pd: 0.2500 0.5000 0.5000  0.09

Summary:
Volume   326 Å³/cell
ρ   4.0 g cm⁻³
Total energy   -87.56 eV per cell